w) SmGaAu4 | PBE | relaxed

a b c (Å): 3.7607 3.7153 8.9283
angles (deg): 90.00 97.66 90.00
With the nearest neighbours (Å) after each atom.
Sites, in units of the cell vectors:
Sm 0.0000 0.0000 0.0000  10 Au 3.08-3.11
Ga 0.5000 0.5000 0.5000  6 Au 2.67-2.84
Au 0.0888 0.0000 0.3479  2 Ga 2.67, 3 Au 2.88-2.96
Au 0.4418 0.5000 0.8143  1 Ga 2.84, 4 Au 2.96-3.06, 4 Sm 3.11
Au 0.5582 0.5000 0.1857  1 Ga 2.84, 4 Au 2.96-3.06, 4 Sm 3.11
Au 0.9112 0.0000 0.6521  2 Ga 2.67, 3 Au 2.88-2.96


x) SmGaAu4 | PBE | relaxed

a b c (Å): 5.6080 5.6080 5.6080
angles (deg): 60.00 60.00 60.00
With the nearest neighbours (Å) after each atom.
Sites, in units of the cell vectors:
Sm 0.0000 0.0000 0.0000  12 Au 3.29, 4 Ga 3.43
Ga 0.7500 0.7500 0.7500  12 Au 3.29, 4 Sm 3.43
Au 0.3752 0.3752 0.3752  6 Au 2.80-2.81
Au 0.3752 0.3752 0.8743  6 Au 2.80-2.81
Au 0.3752 0.8743 0.3752  6 Au 2.80-2.81
Au 0.8743 0.3752 0.3752  6 Au 2.80-2.81


Stability, highest: w)


w) Sm6Ga2Au | PBE | relaxed

a b c (Å): 8.7644 8.7644 5.0236
angles (deg): 106.60 106.60 48.52
With the nearest neighbours (Å) after each atom.
Sites, in units of the cell vectors:
Sm 0.0820 0.5858 0.3341  1 Au 3.09, 3 Ga 3.09-3.10
Sm 0.2498 0.7502 0.0000  2 Au 3.09, 2 Ga 3.12
Sm 0.4142 0.9180 0.6659  1 Au 3.09, 3 Ga 3.09-3.10
Sm 0.5858 0.0820 0.3341  1 Au 3.09, 3 Ga 3.09-3.10
Sm 0.7502 0.2498 0.0000  2 Au 3.09, 2 Ga 3.12
Sm 0.9180 0.4142 0.6659  1 Au 3.09, 3 Ga 3.09-3.10
Ga 0.3325 0.3325 0.8328  8 Sm 3.09-3.12
Ga 0.6675 0.6675 0.1672  8 Sm 3.09-3.12
Au 0.0000 0.0000 0.5000  8 Sm 3.09


x) Sm6Ga2Au | PBE | relaxed

a b c (Å): 8.7096 8.7096 8.7096
angles (deg): 111.34 110.47 106.64
With the nearest neighbours (Å) after each atom.
Sites, in units of the cell vectors:
Sm 0.0348 0.8271 0.2077  3 Ga 2.96-3.07
Sm 0.2546 0.5610 0.3063  2 Ga 3.10-3.27, 2 Au 3.18-3.26
Sm 0.2546 0.9483 0.6937  2 Ga 3.10-3.27, 2 Au 3.18-3.26
Sm 0.2675 0.3253 0.5929  3 Ga 3.15-3.21, 1 Au 3.16, 1 Sm 3.43
Sm 0.2675 0.6747 0.9422  3 Ga 3.15-3.21, 1 Au 3.16, 1 Sm 3.43
Sm 0.3806 0.1729 0.2077  3 Ga 2.96-3.07
Sm 0.6194 0.8271 0.7923  3 Ga 2.96-3.07
Sm 0.7325 0.3253 0.0578  3 Ga 3.15-3.21, 1 Au 3.16, 1 Sm 3.43
Sm 0.7325 0.6747 0.4071  3 Ga 3.15-3.21, 1 Au 3.16, 1 Sm 3.43
Sm 0.7454 0.0517 0.3063  2 Ga 3.10-3.27, 2 Au 3.18-3.26
Sm 0.7454 0.4390 0.6937  2 Ga 3.10-3.27, 2 Au 3.18-3.26
Sm 0.9652 0.1729 0.7923  3 Ga 2.96-3.07
Ga 0.0000 0.1421 0.1421  1 Ga 2.79, 6 Sm 3.07-3.10
Ga 0.0000 0.8579 0.8579  1 Ga 2.79, 6 Sm 3.07-3.10
Ga 0.3774 0.3774 0.0000  1 Ga 2.55
Ga 0.6226 0.6226 0.0000  1 Ga 2.55
Au 0.0000 0.5000 0.5000  8 Sm 3.16-3.26, 2 Ga 3.52
Au 0.5000 0.0000 0.5000  8 Sm 3.18-3.42


Stability, highest: x)


w) Sm3Ga8Au3 | PBE | relaxed

a b c (Å): 8.3986 8.3986 8.3986
angles (deg): 149.77 109.69 78.41
With the nearest neighbours (Å) after each atom.
Sites, in units of the cell vectors:
Sm 0.0000 0.0000 0.0000  12 Ga 3.27-3.29, 4 Au 3.56
Sm 0.3074 0.3074 0.0000  10 Ga 3.13-3.47, 4 Au 3.22-3.33
Sm 0.6926 0.6926 0.0000  10 Ga 3.13-3.47, 4 Au 3.22-3.33
Ga 0.0327 0.6626 0.3701  4 Ga 2.51-2.70, 1 Au 2.62
Ga 0.1387 0.8587 0.2800  3 Ga 2.64-2.70, 3 Au 2.81-2.86
Ga 0.2925 0.6626 0.6299  4 Ga 2.51-2.70, 1 Au 2.62
Ga 0.4214 0.1413 0.2800  3 Ga 2.64-2.70, 3 Au 2.81-2.86
Ga 0.5786 0.8587 0.7200  3 Ga 2.64-2.70, 3 Au 2.81-2.86
Ga 0.7075 0.3374 0.3701  4 Ga 2.51-2.70, 1 Au 2.62
Ga 0.8613 0.1413 0.7200  3 Ga 2.64-2.70, 3 Au 2.81-2.86
Ga 0.9673 0.3374 0.6299  4 Ga 2.51-2.70, 1 Au 2.62
Au 0.2903 0.5000 0.7903  6 Ga 2.62-2.86
Au 0.5000 0.0000 0.5000  4 Ga 2.81, 4 Au 2.99
Au 0.7097 0.5000 0.2097  6 Ga 2.62-2.86


x) Sm3Ga8Au3 | PBE | relaxed

a b c (Å): 8.3231 8.3231 9.9591
angles (deg): 125.79 125.79 30.79
With the nearest neighbours (Å) after each atom.
Sites, in units of the cell vectors:
Sm 0.0000 0.0000 0.0000  8 Ga 3.23-3.35, 4 Au 3.28
Sm 0.3095 0.3095 0.3205  9 Ga 3.07-3.40, 4 Au 3.23-3.29
Sm 0.6905 0.6905 0.6795  9 Ga 3.07-3.40, 4 Au 3.23-3.29
Ga 0.1419 0.1419 0.4219  4 Au 2.61-2.82
Ga 0.1477 0.1477 0.8746  5 Ga 2.65-2.85
Ga 0.3389 0.3389 0.9579  1 Au 2.58, 4 Ga 2.65-2.70
Ga 0.4907 0.4907 0.2948  1 Au 2.62, 3 Ga 2.70-2.85
Ga 0.5093 0.5093 0.7052  1 Au 2.62, 3 Ga 2.70-2.85
Ga 0.6611 0.6611 0.0421  1 Au 2.58, 4 Ga 2.65-2.70
Ga 0.8523 0.8523 0.1254  5 Ga 2.65-2.85
Ga 0.8581 0.8581 0.5781  4 Au 2.61-2.82
Au 0.0000 0.0000 0.5000  8 Ga 2.82-2.97
Au 0.3464 0.3464 0.7061  5 Ga 2.58-2.74
Au 0.6536 0.6536 0.2939  5 Ga 2.58-2.74


Stability, highest: x)